# 1
Density functional theory data (SCAN) for a PBEsol-optimized structure of Cu2PSe.

Unit cell a=3.356 b=4.664 c=4.664 alpha=63.34 beta=68.91 gamma=68.91
Fractional positions:
Cu (0.234, 0.766, 0.766)
Cu (0.766, 0.234, 0.234)
P (0.500, 0.000, 0.000)
Se (0.000, 0.500, 0.500)

Results
- formation energy (no corrections) (kJ/mol of atoms) = 38.4
- M_tot (μB/cell) = 0.0


# 2
Density functional theory data (SCAN) for a PBEsol-optimized structure of LiMg4Ru.

Unit cell a=5.434 b=5.434 c=5.434 alpha=60.00 beta=60.00 gamma=60.00
Each line ends with the local moment (μB).
Fractional positions:
Li (0.000, 0.000, 0.000)  0.00
Mg (0.376, 0.376, 0.376)  0.00
Mg (0.376, 0.376, 0.872)  0.00
Mg (0.872, 0.376, 0.376)  0.00
Mg (0.376, 0.872, 0.376)  0.00
Ru (0.750, 0.750, 0.750)  0.92

Results
- ΔH_f (0 K) (eV/atom) = 0.3970
- M_tot (μB/cell) = 1.0


# 3
Density functional theory data (SCAN) for a PBEsol-optimized structure of LaY2HgC.

Unit cell a=4.882 b=4.882 c=4.962 alpha=90.00 beta=90.00 gamma=90.00
Each line ends with the local moment (μB).
Fractional positions:
Y (0.000, 0.500, 0.000)  0.29
Y (0.500, 0.000, 0.000)  0.29
C (0.000, 0.000, 0.000)  -0.04
Hg (0.000, 0.000, 0.500)  0.02
La (0.500, 0.500, 0.500)  0.41

Results
- ΔH_f (0 K) (eV/atom) = 0.0788
- M_tot (μB/cell) = 1.7


# 4
Density functional theory data (SCAN) for a PBEsol-optimized structure of NiHPd3.

Unit cell a=3.861 b=3.861 c=3.861 alpha=90.00 beta=90.00 gamma=90.00
Each line ends with the local moment (μB).
Fractional positions:
Ni (0.500, 0.500, 0.500)  1.12
Pd (0.000, 0.500, 0.000)  0.20
Pd (0.000, 0.000, 0.500)  0.20
Pd (0.500, 0.000, 0.000)  0.20
H (0.000, 0.000, 0.000)  0.00

Results
- M_tot (μB/cell) = 1.6
- final energy (eV/cell) = -117.83


# 5
Density functional theory data (SCAN) for a PBEsol-optimized structure of ScCuP2.

Unit cell a=3.646 b=3.646 c=5.360 alpha=109.88 beta=109.23 gamma=90.00
Fractional positions:
Cu (0.580, 0.188, 0.376)
P (0.946, 0.052, 0.104)
P (0.659, 0.821, 0.641)
Sc (0.315, 0.439, 0.878)

Results
- ΔH_f (0 K) (eV/atom) = -0.7587
- M_tot (μB/cell) = 0.0


# 6
Density functional theory data (SCAN) for a PBEsol-optimized structure of TaSbMo2.

Unit cell a=3.126 b=3.126 c=7.196 alpha=90.00 beta=90.00 gamma=90.00
Fractional positions:
Mo (0.000, 0.000, 0.017)
Mo (0.500, 0.500, 0.218)
Sb (0.000, 0.000, 0.485)
Ta (0.500, 0.500, 0.780)

Results
- formation energy (no corrections) (kJ/mol of atoms) = 25.7
- M_tot (μB/cell) = 0.0


# 7
Density functional theory data (SCAN) for a PBEsol-optimized structure of Li2MgSi.

Unit cell a=2.951 b=4.680 c=5.163 alpha=96.96 beta=90.00 gamma=108.38
Fractional positions:
Si (0.748, 0.496, 0.236)
Mg (0.490, 0.980, 0.478)
Li (0.013, 0.025, 0.016)
Li (0.250, 0.499, 0.770)

Results
- formation energy (no corrections) (kJ/mol of atoms) = -6.3
- M_tot (μB/cell) = 0.0


# 8
Density functional theory data (SCAN) for a PBEsol-optimized structure of ReOs2Pt.

Unit cell a=2.731 b=4.706 c=4.706 alpha=109.28 beta=90.00 gamma=90.00
Fractional positions:
Os (0.000, 0.500, 0.000)
Os (0.000, 0.000, 0.500)
Pt (0.500, 0.000, 0.000)
Re (0.500, 0.500, 0.500)

Results
- offset from the most stable computed form (eV per formula unit) = 0.20
- ΔH_f (0 K) (eV/atom) = 0.1017
- M_tot (μB/cell) = 0.0